(1)
Material: Gd2MgSn
Method: DFT, PBE
State: optimized geometry

a b c (Å): 4.4462 4.9165 4.9165
angles (deg): 90.00 90.00 90.00
Last column: magnetic moment on the atom in μB.
Fractional coordinates of all 4 atoms:
1 Gd 0.0000 0.0000 0.5000  7.22
2 Gd 0.0000 0.5000 0.0000  7.22
3 Mg 0.5000 0.5000 0.5000  -0.01
4 Sn 0.5000 0.0000 0.0000  -0.07

Calculated values
M_tot	14.83	μB/cell
energy	-8.915	eV per atom
ΔE_f	-45.86	kJ/mol of atoms
density of states at the Fermi level	2.73	states/eV/f.u.

(2)
Material: GdMg2Sn
Method: DFT, PBE
State: optimized geometry

a b c (Å): 3.3301 3.3301 11.4565
angles (deg): 81.64 81.64 60.00
Last column: magnetic moment on the atom in μB.
Fractional coordinates of all 4 atoms:
1 Sn 0.5000 0.5000 0.5000  0.00
2 Gd 0.0000 0.0000 0.0000  7.24
3 Mg 0.0942 0.0942 0.7175  0.00
4 Mg 0.9058 0.9058 0.2825  0.00

Calculated values
M_tot	7.47	μB/cell
energy	-5.189	eV per atom
ΔE_f	12.48	kJ/mol of atoms
density of states at the Fermi level	3.96	states/eV/f.u.
distance to the lowest polymorph of the same formula	550	meV/atom

(3)
Material: GdMgSn
Method: DFT, PBE
State: optimized geometry

a b c (Å): 3.5872 4.9489 4.9489
angles (deg): 120.00 90.00 90.00
Last column: magnetic moment on the atom in μB.
Fractional coordinates of all 3 atoms:
1 Gd 0.6667 0.6667 0.3333  7.04
2 Mg 0.1668 0.0000 0.0000  -0.01
3 Sn 0.1665 0.3333 0.6667  -0.04

Calculated values
M_tot	7.10	μB/cell
energy	-7.034	eV per atom
ΔE_f	-45.79	kJ/mol of atoms
density of states at the Fermi level	2.00	states/eV/f.u.

(4)
Material: GdMgSn
Method: DFT, PBE
State: optimized geometry

a b c (Å): 4.9962 4.9962 4.9962
angles (deg): 60.00 60.00 60.00
Last column: magnetic moment on the atom in μB.
Fractional coordinates of all 3 atoms:
1 Sn 0.2500 0.2500 0.2500  0.03
2 Mg 0.5000 0.5000 0.5000  0.01
3 Gd 0.0000 0.0000 0.0000  -7.02

Calculated values
M_tot	7.16	μB/cell
energy	-6.909	eV per atom
ΔE_f	-33.73	kJ/mol of atoms
density of states at the Fermi level	4.57	states/eV/f.u.

(5)
Material: GdMgSn
Method: DFT, PBE
State: optimized geometry

a b c (Å): 3.5156 3.5156 6.8066
angles (deg): 104.97 104.97 90.00
Last column: magnetic moment on the atom in μB.
Fractional coordinates of all 3 atoms:
1 Gd 0.6196 0.6196 0.2393  7.32
2 Mg 0.9373 0.9373 0.8745  -0.01
3 Sn 0.2931 0.2931 0.5862  -0.02

Calculated values
M_tot	7.64	μB/cell
energy	-6.892	eV per atom
ΔE_f	-32.13	kJ/mol of atoms
density of states at the Fermi level	1.92	states/eV/f.u.

(6)
Material: GdMg2Sn
Method: DFT, PBE
State: optimized geometry

a b c (Å): 4.7858 4.5252 4.5252
angles (deg): 90.00 90.00 90.00
Last column: magnetic moment on the atom in μB.
Fractional coordinates of all 4 atoms:
1 Mg 0.0000 0.5000 0.0000  0.00
2 Mg 0.0000 0.0000 0.5000  0.00
3 Gd 0.5000 0.5000 0.5000  -7.04
4 Sn 0.5000 0.0000 0.0000  0.05

Calculated values
M_tot	7.07	μB/cell
energy	-5.739	eV per atom
ΔE_f	-40.63	kJ/mol of atoms
density of states at the Fermi level	1.22	states/eV/f.u.
distance to the lowest polymorph of the same formula	0	meV/atom

(7)
Material: GdThMgSn
Method: DFT, PBE
State: optimized geometry

a b c (Å): 5.4128 5.4128 5.4128
angles (deg): 60.00 60.00 60.00
Last column: magnetic moment on the atom in μB.
Fractional coordinates of all 4 atoms:
1 Gd 0.5000 0.5000 0.5000  7.04
2 Th 0.0000 0.0000 0.0000  -0.02
3 Sn 0.2500 0.2500 0.2500  -0.03
4 Mg 0.7500 0.7500 0.7500  -0.01

Calculated values
M_tot	7.09	μB/cell
energy	-7.040	eV per atom
ΔE_f	-25.60	kJ/mol of atoms
density of states at the Fermi level	3.91	states/eV/f.u.

(8)
Material: GdTmMgSn
Method: DFT, PBE
State: optimized geometry

a b c (Å): 5.2859 5.2859 5.2859
angles (deg): 60.00 60.00 60.00
Last column: magnetic moment on the atom in μB.
Fractional coordinates of all 4 atoms:
1 Tm 0.2500 0.2500 0.2500  0.09
2 Mg 0.5000 0.5000 0.5000  0.00
3 Gd 0.7500 0.7500 0.7500  7.12
4 Sn 0.0000 0.0000 0.0000  -0.03

Calculated values
M_tot	7.44	μB/cell
energy	-6.428	eV per atom
ΔE_f	-37.64	kJ/mol of atoms
density of states at the Fermi level	3.35	states/eV/f.u.